(1)
This record from the Alexandria database describes PRhSeBr2 after structural relaxation. The functional is GGA-PBE.

excess energy over the best structure of this formula in the dataset	0	meV per atom
SG	P4/mmm, No. 123

abc: 5.020 5.020 4.914
angles: 90.00 90.00 90.00
Atoms (fractional coordinates):
P 0.000 0.000 0.000
Rh 0.500 0.500 0.500
Se 0.500 0.500 0.000
Br 0.000 0.500 0.500
Br 0.500 0.000 0.500

***

(2)
This record from the Alexandria database describes PrAl2ZnAu2 after structural relaxation. The functional is GGA-PBE.

ΔH_f (0 K)	-0.55	eV per atom
SG	P-3m1, No. 164

abc: 4.430 4.430 7.092
angles: 90.00 90.00 120.00
Atoms (fractional coordinates):
Pr 0.000 0.000 0.000
Al 0.333 0.667 0.690
Al 0.667 0.333 0.310
Zn 0.000 0.000 0.500
Au 0.333 0.667 0.293
Au 0.667 0.333 0.707

***

| no. | VASP energy (eV per atom) | magnetic moment (μB per formula unit) |
| --- | --- | --- |
| 1 | -3.2889 | 0.98 |
| 2 | -3.8988 | 0.00 |